Model a:
Dy2MgS4: relaxed, GGA-PBEsol.

Output
Space-group type: No. 227
Calculated volume (Å³ per cell): 336.6

Lattice parameters (Å, degrees): 7.808 7.808 7.808 60.00 60.00 60.00
Positions (direct):
S: 0.870 0.389 0.870
S: 0.380 0.380 0.380
S: 0.380 0.861 0.380
S: 0.861 0.380 0.380
S: 0.870 0.870 0.870
S: 0.380 0.380 0.861
S: 0.870 0.870 0.389
S: 0.389 0.870 0.870
Dy: 0.625 0.625 0.125
Dy: 0.125 0.625 0.625
Dy: 0.625 0.625 0.625
Dy: 0.625 0.125 0.625
Mg: 0.000 0.000 0.000
Mg: 0.250 0.250 0.250

Model b:
Dy2MgS4: relaxed, GGA-PBEsol.

Output
Space-group type: No. 62
Calculated volume (Å³ per cell): 623.0

Lattice parameters (Å, degrees): 3.804 12.467 13.138 90.00 90.00 90.00
Positions (direct):
S: 0.250 0.240 0.484
S: 0.250 0.725 0.753
S: 0.750 0.260 0.984
S: 0.750 0.775 0.253
S: 0.750 0.760 0.516
S: 0.750 0.275 0.247
S: 0.250 0.225 0.747
S: 0.250 0.490 0.884
S: 0.250 0.990 0.616
S: 0.750 0.971 0.884
S: 0.250 0.740 0.016
S: 0.750 0.010 0.384
S: 0.250 0.029 0.116
S: 0.750 0.510 0.116
S: 0.750 0.471 0.616
S: 0.250 0.529 0.384
Mg: 0.750 0.614 0.949
Mg: 0.250 0.386 0.051
Mg: 0.250 0.886 0.449
Mg: 0.750 0.114 0.551
Dy: 0.750 0.883 0.077
Dy: 0.750 0.361 0.795
Dy: 0.750 0.383 0.423
Dy: 0.750 0.861 0.705
Dy: 0.250 0.617 0.577
Dy: 0.250 0.117 0.923
Dy: 0.250 0.139 0.295
Dy: 0.250 0.639 0.205

Name the least stable of them. model b.